## Pr6Al2Cu (GGA-PBE)

Data for a relaxed structure of Pr6Al2Cu.

Values from the calculation:
- Energy relative to the elements: -0.1501 eV per atom
- Magnetic moment: 0.000 Bohr magnetons per cell

The structure in POSCAR format:
```
Pr6Al2Cu
1.0
5.146 0.000 0.272
0.000 10.111 0.000
-0.534 0.000 10.099
Pr Al Cu
12 4 2
Direct
0.000 0.023 0.190
0.000 0.690 0.523
0.000 0.618 0.882
0.500 0.118 0.618
0.500 0.190 0.977
0.500 0.523 0.310
0.000 0.977 0.810
0.000 0.310 0.477
0.000 0.382 0.118
0.500 0.882 0.382
0.500 0.810 0.023
0.500 0.477 0.690
0.000 0.298 0.798
0.500 0.798 0.702
0.500 0.202 0.298
0.000 0.702 0.202
0.500 0.500 0.000
0.000 0.000 0.500
```